1.
Below is KSc2SnTe at its PBEsol-relaxed geometry, with properties calculated at the SCAN level.

## Properties
As for the space group: P4/mmm (123). The formation energy from raw total energies is -0.0229 eV/atom.

a b c (Å): 5.336 5.336 5.793
angles (deg): 90.00 90.00 90.00
Positions (direct):
K  0.000  0.000  0.000
Sc  0.000  0.500  0.500
Sc  0.500  0.000  0.500
Sn  0.500  0.500  0.000
Te  0.000  0.000  0.500

=====

2.
Below is BaAlMo3 at its PBEsol-relaxed geometry, with properties calculated at the SCAN level.

## Properties
The calculation puts the formation energy at 1578 meV/atom. As for the space group: Pm-3m (221).

a b c (Å): 4.773 4.773 4.773
angles (deg): 90.00 90.00 90.00
Positions (direct):
Ba  0.000  0.000  0.000
Al  0.500  0.500  0.500
Mo  0.000  0.500  0.500
Mo  0.500  0.000  0.500
Mo  0.500  0.500  0.000

=====

3.
Below is KNi at its PBEsol-relaxed geometry, with properties calculated at the SCAN level.

## Properties
The calculation puts the formation energy at 1139 meV/atom. As for the space group: P-6m2 (187).

a b c (Å): 2.910 2.910 5.124
angles (deg): 90.00 90.00 120.00
Positions (direct):
K  0.000  0.000  0.000
Ni  0.333  0.667  0.500

=====

4.
Below is LiTaZn2 at its PBEsol-relaxed geometry, with properties calculated at the SCAN level.

## Properties
The calculation puts the formation energy at -116 meV/atom. As for the space group: P4/mmm (123).

a b c (Å): 2.825 2.825 7.263
angles (deg): 90.00 90.00 90.00
Positions (direct):
Li  0.000  0.000  0.000
Ta  0.000  0.000  0.500
Zn  0.500  0.500  0.231
Zn  0.500  0.500  0.769

=====

5.
Below is Ni2OsSe at its PBEsol-relaxed geometry, with properties calculated at the SCAN level.

## Properties
As for the space group: P4/mmm (123). The formation energy from raw total energies is 0.3713 eV/atom.

a b c (Å): 2.683 2.683 7.216
angles (deg): 90.00 90.00 90.00
Positions (direct):
Ni  0.000  0.000  0.241
Ni  0.000  0.000  0.759
Os  0.500  0.500  0.000
Se  0.500  0.500  0.500

=====

6.
Below is Na2MgGaF7 at its PBEsol-relaxed geometry, with properties calculated at the SCAN level.

## Properties
As for the space group: Imma (74). The formation energy from raw total energies is -3.1791 eV/atom.

a b c (Å): 7.249 7.249 7.249
angles (deg): 120.98 90.54 118.42
Positions (direct):
Na  0.000  0.000  0.000
Na  0.500  0.000  0.000
Na  0.500  0.000  0.500
Na  0.500  0.500  0.500
Mg  0.000  0.000  0.500
Mg  0.000  0.500  0.000
Ga  0.000  0.500  0.500
Ga  0.500  0.500  0.000
F  0.049  0.238  0.419
F  0.049  0.630  0.812
F  0.102  0.852  0.250
F  0.317  0.728  0.590
F  0.318  0.238  0.688
F  0.318  0.630  0.081
F  0.362  0.272  0.090
F  0.638  0.728  0.910
F  0.682  0.370  0.919
F  0.682  0.762  0.312
F  0.683  0.272  0.410
F  0.898  0.148  0.750
F  0.951  0.370  0.188
F  0.951  0.762  0.581

=====

no.,mass density (g/cm³)
1,3.78
2,6.90
3,4.32
4,9.13
5,12.36
6,3.35